No. 1
Below is a relaxed structure of BeP3Br, with properties calculated at the PBE level.

Cell lengths 4.7908, 4.7908, 4.7908 Å; angles 90.00, 90.00, 90.00 degrees
With the nearest neighbours (Å) after each atom.
Fractional coordinates of all 5 atoms:
Be 0.0000 0.0000 0.0000  12 P 3.39
P 0.0000 0.5000 0.5000  2 Br 2.40
P 0.5000 0.0000 0.5000  2 Br 2.40
P 0.5000 0.5000 0.0000  2 Br 2.40
Br 0.5000 0.5000 0.5000  6 P 2.40

Results
Size of the total moment: 0.000 Bohr magnetons per cell
Space group: Pm-3m, No. 221
Calculated volume: 22.0 A^3/atom
Total energy: -2.42 eV/atom
Formation energy (no corrections): 1.910 eV/atom



No. 2
Below is a relaxed structure of BePBr2, with properties calculated at the PBE level.

Cell lengths 3.6595, 3.6595, 33.5687 Å; angles 90.00, 90.00, 120.00 degrees
With the nearest neighbours (Å) after each atom.
Fractional coordinates of all 12 atoms:
Be 0.0000 0.0000 0.0000  2 Br 1.94
Be 0.3333 0.6667 0.6667  2 Br 1.94
Be 0.6667 0.3333 0.3333  2 Br 1.94
P 0.0000 0.0000 0.5000  6 P 3.66
P 0.3333 0.6667 0.1667  6 P 3.66
P 0.6667 0.3333 0.8333  6 P 3.66
Br 0.0000 0.0000 0.0577  1 Be 1.94
Br 0.0000 0.0000 0.9423  1 Be 1.94
Br 0.3333 0.6667 0.6089  1 Be 1.94
Br 0.3333 0.6667 0.7244  1 Be 1.94
Br 0.6667 0.3333 0.2756  1 Be 1.94
Br 0.6667 0.3333 0.3911  1 Be 1.94

Results
Size of the total moment: 3.791 Bohr magnetons per cell
Space group: R-3m, No. 166
Calculated volume: 32.4 A^3/atom
Total energy: -2.72 eV/atom
Formation energy (no corrections): 0.398 eV/atom



No. 3
Below is a relaxed structure of BePBr, with properties calculated at the PBE level.

Cell lengths 3.3088, 3.3088, 10.3068 Å; angles 90.00, 90.00, 90.00 degrees
With the nearest neighbours (Å) after each atom.
Fractional coordinates of all 6 atoms:
Be 0.0000 0.0000 0.0000  1 Br 2.33, 4 P 2.37
Be 0.5000 0.5000 0.5000  1 Br 2.33, 4 P 2.37
P 0.0000 0.0000 0.4653  4 Be 2.37, 1 Br 2.47
P 0.5000 0.5000 0.9653  4 Be 2.37, 1 Br 2.47
Br 0.0000 0.0000 0.2257  1 Be 2.33, 1 P 2.47
Br 0.5000 0.5000 0.7257  1 Be 2.33, 1 P 2.47

Results
Size of the total moment: 0.000 Bohr magnetons per cell
Space group: I4mm, No. 107
Calculated volume: 18.8 A^3/atom
Total energy: -3.33 eV/atom
Formation energy (no corrections): 0.269 eV/atom



No. 4
Below is a relaxed structure of BePBr, with properties calculated at the PBE level.

Cell lengths 3.0075, 6.2715, 15.0042 Å; angles 90.00, 90.00, 90.00 degrees
With the nearest neighbours (Å) after each atom.
Fractional coordinates of all 12 atoms:
Be 0.0000 0.0000 0.0000  2 Br 2.17, 2 P 2.31
Be 0.0000 0.5000 0.5000  2 Br 2.17, 2 P 2.31
Be 0.5000 0.0000 0.5000  2 Br 2.17, 2 P 2.31
Be 0.5000 0.5000 0.0000  2 Br 2.17, 2 P 2.31
P 0.0000 0.0000 0.3833  2 Be 2.31
P 0.0000 0.5000 0.8833  2 Be 2.31
P 0.5000 0.0000 0.8833  2 Be 2.31
P 0.5000 0.5000 0.3833  2 Be 2.31
Br 0.0000 0.0000 0.6047  2 Be 2.17
Br 0.0000 0.5000 0.1047  2 Be 2.17
Br 0.5000 0.0000 0.1047  2 Be 2.17
Br 0.5000 0.5000 0.6047  2 Be 2.17

Results
Size of the total moment: 0.000 Bohr magnetons per cell
Space group: Fmm2, No. 42
Calculated volume: 23.6 A^3/atom
Total energy: -3.30 eV/atom
Formation energy (no corrections): 0.302 eV/atom



No. 5
Below is a relaxed structure of BePSeBr2, with properties calculated at the PBE level.

Cell lengths 4.9862, 4.9862, 5.0422 Å; angles 90.00, 90.00, 90.00 degrees
With the nearest neighbours (Å) after each atom.
Fractional coordinates of all 5 atoms:
Be 0.0000 0.0000 0.0000  4 Se 3.53, 8 Br 3.55
P 0.5000 0.5000 0.5000  4 Br 2.49, 2 Se 2.52
Se 0.5000 0.5000 0.0000  2 P 2.52
Br 0.0000 0.5000 0.5000  2 P 2.49
Br 0.5000 0.0000 0.5000  2 P 2.49

Results
Size of the total moment: 0.000 Bohr magnetons per cell
Space group: P4/mmm, No. 123
Calculated volume: 25.1 A^3/atom
Total energy: -2.51 eV/atom
Formation energy (no corrections): 0.680 eV/atom



No. 6
Below is a relaxed structure of BePSe2Br, with properties calculated at the PBE level.

Cell lengths 4.8821, 4.8821, 4.9154 Å; angles 90.00, 90.00, 90.00 degrees
With the nearest neighbours (Å) after each atom.
Fractional coordinates of all 5 atoms:
Be 0.0000 0.0000 0.0000  4 Br 3.45, 8 Se 3.46
P 0.5000 0.5000 0.5000  4 Se 2.44, 2 Br 2.46
Se 0.0000 0.5000 0.5000  2 P 2.44
Se 0.5000 0.0000 0.5000  2 P 2.44
Br 0.5000 0.5000 0.0000  2 P 2.46

Results
Size of the total moment: 0.000 Bohr magnetons per cell
Space group: P4/mmm, No. 123
Calculated volume: 23.4 A^3/atom
Total energy: -2.78 eV/atom
Formation energy (no corrections): 0.780 eV/atom



No. 7
Below is a relaxed structure of BePSe2Br, with properties calculated at the PBE level.

Cell lengths 4.6990, 4.6990, 4.4597 Å; angles 90.00, 90.00, 90.00 degrees
With the nearest neighbours (Å) after each atom.
Fractional coordinates of all 5 atoms:
Be 0.0000 0.0000 0.0000  2 Br 2.23, 4 Se 2.35
P 0.5000 0.5000 0.5000  8 Se 3.24, 4 Br 3.32
Se 0.0000 0.5000 0.0000  2 Be 2.35
Se 0.5000 0.0000 0.0000  2 Be 2.35
Br 0.0000 0.0000 0.5000  2 Be 2.23

Results
Size of the total moment: 0.000 Bohr magnetons per cell
Space group: P4/mmm, No. 123
Calculated volume: 19.7 A^3/atom
Total energy: -3.03 eV/atom
Formation energy (no corrections): 0.531 eV/atom



No. 8
Below is a relaxed structure of BePSeBr2, with properties calculated at the PBE level.

Cell lengths 4.5506, 4.5506, 5.0349 Å; angles 90.00, 90.00, 90.00 degrees
With the nearest neighbours (Å) after each atom.
Fractional coordinates of all 5 atoms:
Be 0.0000 0.0000 0.0000  4 Br 2.28, 2 Se 2.52
P 0.5000 0.5000 0.5000  4 Se 3.22, 8 Br 3.39
Se 0.0000 0.0000 0.5000  2 Be 2.52
Br 0.0000 0.5000 0.0000  2 Be 2.28
Br 0.5000 0.0000 0.0000  2 Be 2.28

Results
Size of the total moment: 0.000 Bohr magnetons per cell
Space group: P4/mmm, No. 123
Calculated volume: 20.9 A^3/atom
Total energy: -2.76 eV/atom
Formation energy (no corrections): 0.429 eV/atom



No. 9
Below is a relaxed structure of BeSiP2Br, with properties calculated at the PBE level.

Cell lengths 4.5094, 4.5094, 5.0869 Å; angles 90.00, 90.00, 90.00 degrees
With the nearest neighbours (Å) after each atom.
Fractional coordinates of all 5 atoms:
Be 0.0000 0.0000 0.0000  4 Br 3.19, 8 P 3.40
Si 0.5000 0.5000 0.5000  4 P 2.25
P 0.0000 0.5000 0.5000  2 Si 2.25
P 0.5000 0.0000 0.5000  2 Si 2.25
Br 0.5000 0.5000 0.0000  2 Si 2.54

Results
Size of the total moment: 0.055 Bohr magnetons per cell
Space group: P4/mmm, No. 123
Calculated volume: 20.7 A^3/atom
Total energy: -3.29 eV/atom
Formation energy (no corrections): 1.039 eV/atom



No. 10
Below is a relaxed structure of Be2PbBr, with properties calculated at the PBE level.

Cell lengths 4.8858, 4.8858, 3.3355 Å; angles 90.00, 90.00, 90.00 degrees
With the nearest neighbours (Å) after each atom.
Fractional coordinates of all 4 atoms:
Be 0.0000 0.5000 0.0000  4 Pb 2.96, 4 Br 2.96
Be 0.5000 0.0000 0.0000  4 Pb 2.96, 4 Br 2.96
Pb 0.0000 0.0000 0.5000  8 Be 2.96
Br 0.5000 0.5000 0.5000  8 Be 2.96

Results
Size of the total moment: 0.000 Bohr magnetons per cell
Space group: P4/mmm, No. 123
Calculated volume: 19.9 A^3/atom
Total energy: -2.38 eV/atom
Formation energy (no corrections): 0.824 eV/atom



No. 11
Below is a relaxed structure of Be2PbBr, with properties calculated at the PBE level.

Cell lengths 3.6021, 3.6021, 20.4231 Å; angles 90.00, 90.00, 120.00 degrees
With the nearest neighbours (Å) after each atom.
Fractional coordinates of all 12 atoms:
Be 0.0000 0.0000 0.2492  3 Pb 2.68, 3 Br 2.70
Be 0.0000 0.0000 0.7508  3 Pb 2.68, 3 Br 2.70
Be 0.3333 0.6667 0.4175  3 Pb 2.68, 3 Br 2.70
Be 0.3333 0.6667 0.9159  3 Pb 2.68, 3 Br 2.70
Be 0.6667 0.3333 0.0841  3 Pb 2.68, 3 Br 2.70
Be 0.6667 0.3333 0.5825  3 Pb 2.68, 3 Br 2.70
Pb 0.0000 0.0000 0.5000  6 Be 2.68
Pb 0.3333 0.6667 0.1667  6 Be 2.68
Pb 0.6667 0.3333 0.8333  6 Be 2.68
Br 0.0000 0.0000 0.0000  6 Be 2.70
Br 0.3333 0.6667 0.6667  6 Be 2.70
Br 0.6667 0.3333 0.3333  6 Be 2.70

Results
Size of the total moment: 0.000 Bohr magnetons per cell
Space group: R-3m, No. 166
Calculated volume: 19.1 A^3/atom
Total energy: -2.67 eV/atom
Formation energy (no corrections): 0.539 eV/atom



No. 12
Below is a relaxed structure of Be2PbBr, with properties calculated at the PBE level.

Cell lengths 3.5736, 3.5736, 14.5162 Å; angles 90.00, 90.00, 90.00 degrees
With the nearest neighbours (Å) after each atom.
Fractional coordinates of all 8 atoms:
Be 0.0000 0.0000 0.0000  4 Pb 2.53
Be 0.0000 0.5000 0.2500  4 Br 2.53
Be 0.5000 0.0000 0.7500  4 Br 2.53
Be 0.5000 0.5000 0.5000  4 Pb 2.53
Pb 0.0000 0.0000 0.5000  4 Be 2.53
Pb 0.5000 0.5000 0.0000  4 Be 2.53
Br 0.0000 0.5000 0.7500  4 Be 2.53
Br 0.5000 0.0000 0.2500  4 Be 2.53

Results
Size of the total moment: 0.000 Bohr magnetons per cell
Space group: I-4m2, No. 119
Calculated volume: 23.2 A^3/atom
Total energy: -2.41 eV/atom
Formation energy (no corrections): 0.796 eV/atom



No. 13
Below is a relaxed structure of BePb3Br, with properties calculated at the PBE level.

Cell lengths 5.2471, 5.2471, 5.2471 Å; angles 90.00, 90.00, 90.00 degrees
With the nearest neighbours (Å) after each atom.
Fractional coordinates of all 5 atoms:
Be 0.0000 0.0000 0.0000  6 Pb 2.62
Pb 0.0000 0.0000 0.5000  2 Be 2.62
Pb 0.0000 0.5000 0.0000  2 Be 2.62
Pb 0.5000 0.0000 0.0000  2 Be 2.62
Br 0.5000 0.5000 0.5000  12 Pb 3.71

Results
Size of the total moment: 0.000 Bohr magnetons per cell
Space group: Pm-3m, No. 221
Calculated volume: 28.9 A^3/atom
Total energy: -3.07 eV/atom
Formation energy (no corrections): 0.236 eV/atom



No. 14
Below is a relaxed structure of Be2PbBr, with properties calculated at the PBE level.

Cell lengths 3.2718, 3.2718, 28.9896 Å; angles 90.00, 90.00, 120.00 degrees
With the nearest neighbours (Å) after each atom.
Fractional coordinates of all 12 atoms:
Be 0.0000 0.0000 0.0000  3 Br 2.32, 3 Be 2.52
Be 0.0000 0.0000 0.2760  3 Be 2.52
Be 0.3333 0.6667 0.6667  3 Br 2.32, 3 Be 2.52
Be 0.3333 0.6667 0.9426  3 Be 2.52
Be 0.6667 0.3333 0.3333  3 Br 2.32, 3 Be 2.52
Be 0.6667 0.3333 0.6093  3 Be 2.52
Pb 0.0000 0.0000 0.5294  3 Be 2.99, 6 Pb 3.27
Pb 0.3333 0.6667 0.1961  3 Be 2.99, 6 Pb 3.27
Pb 0.6667 0.3333 0.8628  3 Be 2.99, 6 Pb 3.27
Br 0.0000 0.0000 0.7131  3 Be 2.32
Br 0.3333 0.6667 0.3797  3 Be 2.32
Br 0.6667 0.3333 0.0464  3 Be 2.32

Results
Size of the total moment: 1.228 Bohr magnetons per cell
Space group: R3m, No. 160
Calculated volume: 22.4 A^3/atom
Total energy: -2.85 eV/atom
Formation energy (no corrections): 0.359 eV/atom